[1]
Entry from the Alexandria database: ScPt after structural relaxation (GGA-PBEsol). Values from VASP.

```
&SYSTEM
  ibrav = 0, nat = 8, ntyp = 2
/
ATOMIC_SPECIES
Pt 195.08 Pt.upf
Sc 44.96 Sc.upf
CELL_PARAMETERS angstrom
-4.4577 0.3827 2.7006
0.5094 -4.9664 1.5447
2.6796 1.5809 4.1990
ATOMIC_POSITIONS crystal
Pt 0.4190 0.4190 0.4190
Pt 0.0810 0.5810 0.9190
Pt 0.5810 0.9190 0.0810
Pt 0.9190 0.0810 0.5810
Sc 0.0856 0.0856 0.0856
Sc 0.4144 0.9144 0.5856
Sc 0.9144 0.5856 0.4144
Sc 0.5856 0.4144 0.9144
```

Output
- electronic total energy (eV per cell) = -63.05

***

[2]
Entry from the Alexandria database: ScPt3 after structural relaxation (GGA-PBEsol). Values from VASP.

```
&SYSTEM
  ibrav = 0, nat = 8, ntyp = 2
/
ATOMIC_SPECIES
Pt 195.08 Pt.upf
Sc 44.96 Sc.upf
CELL_PARAMETERS angstrom
3.9510 0.0000 0.0000
0.0000 3.9510 0.0000
-1.9755 -1.9755 7.9562
ATOMIC_POSITIONS crystal
Pt 0.5000 0.0000 0.0000
Pt 0.8771 0.8771 0.7543
Pt 0.1229 0.1229 0.2457
Pt 0.2500 0.7500 0.5000
Pt 0.7500 0.2500 0.5000
Pt 0.0000 0.5000 0.0000
Sc 0.6255 0.6255 0.2509
Sc 0.3745 0.3745 0.7491
```

Output
- electronic total energy (eV per cell) = -62.83

***

[3]
Entry from the Alexandria database: ScPt5 after structural relaxation (GGA-PBEsol). Values from VASP.

```
&SYSTEM
  ibrav = 0, nat = 6, ntyp = 2
/
ATOMIC_SPECIES
Sc 44.96 Sc.upf
Pt 195.08 Pt.upf
CELL_PARAMETERS angstrom
4.5125 0.0000 0.0000
0.0000 4.8697 0.0000
0.0000 -2.4349 4.2173
ATOMIC_POSITIONS crystal
Sc 0.5000 0.0000 0.0000
Pt 0.0000 0.3444 0.3444
Pt 0.0000 0.6556 0.0000
Pt 0.0000 0.0000 0.6556
Pt 0.5000 0.3333 0.6667
Pt 0.5000 0.6667 0.3333
```

Output
- electronic total energy (eV per cell) = -45.13

***

[4]
Entry from the Alexandria database: Sc5Pt3 after structural relaxation (GGA-PBEsol). Values from VASP.

```
&SYSTEM
  ibrav = 0, nat = 16, ntyp = 2
/
ATOMIC_SPECIES
Pt 195.08 Pt.upf
Sc 44.96 Sc.upf
CELL_PARAMETERS angstrom
-3.3593 -4.3581 -0.0533
4.0146 -3.0193 -6.1572
2.1905 -1.7792 7.4284
ATOMIC_POSITIONS crystal
Pt 0.2500 0.0000 0.3977
Pt 0.7500 0.0000 0.6023
Pt 0.2500 0.6023 0.6023
Pt 0.7500 0.6023 0.0000
Pt 0.7500 0.3977 0.3977
Pt 0.2500 0.3977 0.0000
Sc 0.7500 0.0000 0.2413
Sc 0.2500 0.0000 0.7587
Sc 0.7500 0.7587 0.7587
Sc 0.2500 0.7587 0.0000
Sc 0.0000 0.6667 0.3333
Sc 0.5000 0.6667 0.3333
Sc 0.0000 0.3333 0.6667
Sc 0.5000 0.3333 0.6667
Sc 0.2500 0.2413 0.2413
Sc 0.7500 0.2413 0.0000
```

Output
- electronic total energy (eV per cell) = -123.92

***

[5]
Entry from the Alexandria database: ScPt2 after structural relaxation (GGA-PBEsol). Values from VASP.

```
&SYSTEM
  ibrav = 0, nat = 12, ntyp = 2
/
ATOMIC_SPECIES
Pt 195.08 Pt.upf
Sc 44.96 Sc.upf
CELL_PARAMETERS angstrom
3.9402 0.0000 0.0000
0.0000 3.9402 0.0000
-1.9701 -1.9701 12.3132
ATOMIC_POSITIONS crystal
Pt 0.7493 0.7493 0.4986
Pt 0.2507 0.2507 0.5014
Pt 0.9993 0.4993 0.9986
Pt 0.5007 0.0007 0.0014
Pt 0.5835 0.5835 0.1670
Pt 0.4165 0.4165 0.8330
Pt 0.8335 0.3335 0.6670
Pt 0.6665 0.1665 0.3330
Sc 0.9228 0.9228 0.8456
Sc 0.0772 0.0772 0.1544
Sc 0.1728 0.6728 0.3456
Sc 0.3272 0.8272 0.6544
```

Output
- electronic total energy (eV per cell) = -95.84

***

[6]
Entry from the Alexandria database: Sc5Pt3 after structural relaxation (GGA-PBEsol). Values from VASP.

```
&SYSTEM
  ibrav = 0, nat = 16, ntyp = 2
/
ATOMIC_SPECIES
Pt 195.08 Pt.upf
Sc 44.96 Sc.upf
CELL_PARAMETERS angstrom
-3.0370 -4.4826 -0.6819
0.8717 -2.7913 -7.3703
4.1867 -6.4518 1.9284
ATOMIC_POSITIONS crystal
Pt 0.7500 0.0000 0.0000
Pt 0.2500 0.0000 0.0000
Pt 0.1604 0.1792 0.5000
Pt 0.8396 0.8208 0.5000
Pt 0.6604 0.5000 0.1792
Pt 0.3396 0.5000 0.8208
Sc 0.7500 0.5000 0.5000
Sc 0.2500 0.5000 0.5000
Sc 0.0825 0.7040 0.1309
Sc 0.9175 0.2960 0.8691
Sc 0.5825 0.1309 0.7040
Sc 0.4175 0.8691 0.2960
Sc 0.2865 0.2960 0.1309
Sc 0.7135 0.7040 0.8691
Sc 0.2135 0.8691 0.7040
Sc 0.7865 0.1309 0.2960
```

Output
- electronic total energy (eV per cell) = -123.24

***

[7]
Entry from the Alexandria database: Sc2Pt after structural relaxation (GGA-PBEsol). Values from VASP.

```
&SYSTEM
  ibrav = 0, nat = 12, ntyp = 2
/
ATOMIC_SPECIES
Pt 195.08 Pt.upf
Sc 44.96 Sc.upf
CELL_PARAMETERS angstrom
4.4595 0.0000 0.0000
0.0000 6.4908 0.0000
0.0000 0.0000 8.1577
ATOMIC_POSITIONS crystal
Pt 0.7500 0.2398 0.5971
Pt 0.2500 0.2602 0.0971
Pt 0.2500 0.7602 0.4029
Pt 0.7500 0.7398 0.9029
Sc 0.7500 0.6502 0.5766
Sc 0.2500 0.8498 0.0766
Sc 0.2500 0.3498 0.4234
Sc 0.7500 0.1502 0.9234
Sc 0.7500 0.5133 0.1767
Sc 0.2500 0.9867 0.6767
Sc 0.2500 0.4867 0.8233
Sc 0.7500 0.0133 0.3233
```

Output
- electronic total energy (eV per cell) = -92.21

***

[8]
Entry from the Alexandria database: ScPt after structural relaxation (GGA-PBEsol). Values from VASP.

```
&SYSTEM
  ibrav = 0, nat = 24, ntyp = 2
/
ATOMIC_SPECIES
Pt 195.08 Pt.upf
Sc 44.96 Sc.upf
CELL_PARAMETERS angstrom
-4.5705 3.1134 0.0561
-4.2566 -6.2925 2.4332
1.7318 2.3770 9.1767
ATOMIC_POSITIONS crystal
Pt 0.7500 0.1261 0.8495
Pt 0.2500 0.8739 0.1505
Pt 0.7500 0.6261 0.1505
Pt 0.2500 0.3739 0.8495
Pt 0.7500 0.5474 0.5694
Pt 0.2500 0.4526 0.4306
Pt 0.7500 0.0474 0.4306
Pt 0.2500 0.9526 0.5694
Pt 0.0000 0.7500 0.9162
Pt 0.5000 0.2500 0.0838
Pt 0.0000 0.2500 0.0838
Pt 0.5000 0.7500 0.9162
Sc 0.7500 0.4639 0.8756
Sc 0.2500 0.5361 0.1244
Sc 0.7500 0.9639 0.1244
Sc 0.2500 0.0361 0.8756
Sc 0.7500 0.8665 0.6833
Sc 0.2500 0.1335 0.3167
Sc 0.7500 0.3665 0.3167
Sc 0.2500 0.6335 0.6833
Sc 0.0000 0.7500 0.3786
Sc 0.5000 0.2500 0.6214
Sc 0.0000 0.2500 0.6214
Sc 0.5000 0.7500 0.3786
```

Output
- electronic total energy (eV per cell) = -189.35

***

[9]
Entry from the Alexandria database: Sc4Pt3 after structural relaxation (GGA-PBEsol). Values from VASP.

```
&SYSTEM
  ibrav = 0, nat = 14, ntyp = 2
/
ATOMIC_SPECIES
Pt 195.08 Pt.upf
Sc 44.96 Sc.upf
CELL_PARAMETERS angstrom
-4.5785 -1.0132 -3.5840
3.8790 -6.1905 0.0345
-2.9109 1.5851 6.5103
ATOMIC_POSITIONS crystal
Pt 0.8940 0.1323 0.4023
Pt 0.7616 0.2700 0.8677
Pt 0.4917 0.5977 0.7300
Pt 0.1060 0.8677 0.5977
Pt 0.2384 0.7300 0.1323
Pt 0.5083 0.4023 0.2700
Sc 0.5000 0.0000 0.0000
Sc 0.0000 0.0000 0.0000
Sc 0.0827 0.4537 0.3088
Sc 0.6290 0.8551 0.5463
Sc 0.7739 0.6912 0.1449
Sc 0.9173 0.5463 0.6912
Sc 0.3710 0.1449 0.4537
Sc 0.2261 0.3088 0.8551
```

Output
- electronic total energy (eV per cell) = -109.29

***

[10]
Entry from the Alexandria database: Sc3Pt4 after structural relaxation (GGA-PBEsol). Values from VASP.

```
&SYSTEM
  ibrav = 0, nat = 14, ntyp = 2
/
ATOMIC_SPECIES
Pt 195.08 Pt.upf
Sc 44.96 Sc.upf
CELL_PARAMETERS angstrom
5.5004 0.0000 0.0000
-1.8335 7.0680 0.0000
-1.8335 -3.5340 6.1211
ATOMIC_POSITIONS crystal
Pt 0.5000 0.0000 0.0000
Pt 0.0000 0.0000 0.0000
Pt 0.0478 0.4733 0.3098
Pt 0.5745 0.8365 0.5267
Pt 0.7380 0.6902 0.1635
Pt 0.9522 0.5267 0.6902
Pt 0.4255 0.1635 0.4733
Pt 0.2620 0.3098 0.8365
Sc 0.9012 0.1317 0.3905
Sc 0.7696 0.2589 0.8683
Sc 0.5107 0.6095 0.7411
Sc 0.0988 0.8683 0.6095
Sc 0.2304 0.7411 0.1317
Sc 0.4893 0.3905 0.2589
```

Output
- electronic total energy (eV per cell) = -111.68

***

[11]
Entry from the Alexandria database: ScPt4 after structural relaxation (GGA-PBEsol). Values from VASP.

```
&SYSTEM
  ibrav = 0, nat = 5, ntyp = 2
/
ATOMIC_SPECIES
Pt 195.08 Pt.upf
Sc 44.96 Sc.upf
CELL_PARAMETERS angstrom
-2.0320 3.0645 -0.3653
-2.7239 -1.5752 1.9373
4.8853 1.5617 4.6148
ATOMIC_POSITIONS crystal
Pt 0.7500 0.2500 0.5000
Pt 0.4030 0.4030 0.8061
Pt 0.5970 0.5970 0.1939
Pt 0.2500 0.7500 0.5000
Sc 0.0000 0.0000 0.0000
```

Output
- electronic total energy (eV per cell) = -36.56

***

[12]
Entry from the Alexandria database: Sc2Pt after structural relaxation (GGA-PBEsol). Values from VASP.

```
&SYSTEM
  ibrav = 0, nat = 6, ntyp = 2
/
ATOMIC_SPECIES
Pt 195.08 Pt.upf
Sc 44.96 Sc.upf
CELL_PARAMETERS angstrom
3.5084 -0.0002 0.0000
-1.7545 5.5806 0.0283
0.0000 -0.0327 6.2619
ATOMIC_POSITIONS crystal
Pt 0.9811 0.9623 0.9327
Pt 0.7411 0.4821 0.4327
Sc 0.3848 0.7696 0.2097
Sc 0.0649 0.1298 0.5243
Sc 0.3374 0.6749 0.7097
Sc 0.6573 0.3146 0.0243
```

Output
- electronic total energy (eV per cell) = -45.36

***

| no. | energy relative to the elements (kJ/mol of atoms) |
| --- | --- |
| 1 | -105.88 |
| 2 | -94.49 |
| 3 | -59.60 |
| 4 | -97.02 |
| 5 | -110.25 |
| 6 | -92.91 |
| 7 | -92.56 |
| 8 | -106.65 |
| 9 | -101.11 |
| 10 | -112.64 |
| 11 | -40.47 |
| 12 | -80.54 |